# PBE-GGA Th2Co2Ge3, optimized geometry
data_Th2Co2Ge3
_cell_length_a 3.869
_cell_length_b 21.225
_cell_length_c 3.719
_cell_angle_alpha 90.00
_cell_angle_beta 90.00
_cell_angle_gamma 90.00
_space_group_name_H-M_alt 'C m m m'
_space_group_IT_number 65
_space_group_name_Hall '-C 2 2'
loop_
_atom_site_label
_atom_site_type_symbol
_atom_site_fract_x
_atom_site_fract_y
_atom_site_fract_z
Th1 Th 0.000 0.103 0.000
Co1 Co 0.000 0.392 0.500
Ge1 Ge 0.000 0.285 0.500
Ge2 Ge 0.000 0.500 0.500
# energy above the lowest structure with this stoichiometry: 0.259 eV/atom
# ΔH_f (0 K): -0.324 eV/atom


# PBE-GGA Pm2NpCdO6, optimized geometry
data_Pm2NpCdO6
_cell_length_a 5.730
_cell_length_b 5.950
_cell_length_c 10.587
_cell_angle_alpha 90.00
_cell_angle_beta 120.49
_cell_angle_gamma 90.00
_space_group_name_H-M_alt 'P 1 21/c 1'
_space_group_IT_number 14
_space_group_name_Hall '-P 2ybc'
loop_
_atom_site_label
_atom_site_type_symbol
_atom_site_fract_x
_atom_site_fract_y
_atom_site_fract_z
Pm1 Pm 0.209 0.055 0.243
Np1 Np 0.500 0.000 0.000
Cd1 Cd 0.000 0.000 0.500
O1 O 0.134 0.202 0.926
O2 O 0.197 0.715 0.899
O3 O 0.441 0.092 0.780
# raw total energy: -8.06 eV/atom


# PBE-GGA CsBa2LiTc, optimized geometry
data_CsBa2LiTc
_cell_length_a 6.470
_cell_length_b 6.470
_cell_length_c 5.101
_cell_angle_alpha 90.00
_cell_angle_beta 90.00
_cell_angle_gamma 90.00
_space_group_name_H-M_alt 'P 4/m m m'
_space_group_IT_number 123
_space_group_name_Hall '-P 4 2'
loop_
_atom_site_label
_atom_site_type_symbol
_atom_site_fract_x
_atom_site_fract_y
_atom_site_fract_z
Cs1 Cs 0.000 0.000 0.000
Ba1 Ba 0.000 0.500 0.500
Li1 Li 0.500 0.500 0.500
Tc1 Tc 0.500 0.500 0.000
# ΔH_f (0 K): 0.895 eV/atom


# PBE-GGA Ba2ThPdO5, optimized geometry
data_Ba2ThPdO5
_cell_length_a 6.626
_cell_length_b 6.626
_cell_length_c 6.562
_cell_angle_alpha 90.00
_cell_angle_beta 90.00
_cell_angle_gamma 90.00
_space_group_name_H-M_alt 'P 4/m b m'
_space_group_IT_number 127
_space_group_name_Hall '-P 4 2ab'
loop_
_atom_site_label
_atom_site_type_symbol
_atom_site_fract_x
_atom_site_fract_y
_atom_site_fract_z
Ba1 Ba 0.164 0.336 0.000
Th1 Th 0.000 0.000 0.500
Pd1 Pd 0.000 0.500 0.500
O1 O 0.000 0.000 0.000
O2 O 0.172 0.672 0.310
# raw total energy: -6.67 eV/atom


# PBE-GGA SrRe2Sb, optimized geometry
data_SrRe2Sb
_cell_length_a 4.3184
_cell_length_b 4.3184
_cell_length_c 18.6681
_cell_angle_alpha 90.00
_cell_angle_beta 90.00
_cell_angle_gamma 120.00
_space_group_name_H-M_alt 'R 3 m'
_space_group_IT_number 160
_space_group_name_Hall 'R 3 -2"'
loop_
_atom_site_label
_atom_site_type_symbol
_atom_site_fract_x
_atom_site_fract_y
_atom_site_fract_z
Sr1 Sr 0.0000 0.0000 0.0000
Re1 Re 0.0000 0.0000 0.2116
Re2 Re 0.0000 0.0000 0.5246
Sb1 Sb 0.0000 0.0000 0.7916
# raw total energy: -7.57 eV/atom


# PBE-GGA V4GaRu5, optimized geometry
data_V4GaRu5
_cell_length_a 3.005
_cell_length_b 3.005
_cell_length_c 15.128
_cell_angle_alpha 90.00
_cell_angle_beta 90.00
_cell_angle_gamma 90.00
_space_group_name_H-M_alt 'P 4/m m m'
_space_group_IT_number 123
_space_group_name_Hall '-P 4 2'
loop_
_atom_site_label
_atom_site_type_symbol
_atom_site_fract_x
_atom_site_fract_y
_atom_site_fract_z
V1 V 0.000 0.000 0.101
V2 V 0.000 0.000 0.302
Ga1 Ga 0.000 0.000 0.500
Ru1 Ru 0.500 0.500 0.000
Ru2 Ru 0.500 0.500 0.197
Ru3 Ru 0.500 0.500 0.397
# ΔH_f (0 K): -0.322 eV/atom


# PBE-GGA ScMoIr2, optimized geometry
data_ScMoIr2
_cell_length_a 2.882
_cell_length_b 4.246
_cell_length_c 5.373
_cell_angle_alpha 90.00
_cell_angle_beta 90.00
_cell_angle_gamma 90.00
_space_group_name_H-M_alt 'P m m 2'
_space_group_IT_number 25
_space_group_name_Hall 'P 2 -2'
loop_
_atom_site_label
_atom_site_type_symbol
_atom_site_fract_x
_atom_site_fract_y
_atom_site_fract_z
Sc1 Sc 0.000 0.000 0.000
Mo1 Mo 0.500 0.500 0.674
Ir1 Ir 0.000 0.000 0.506
Ir2 Ir 0.500 0.500 0.163
# energy above the lowest structure with this stoichiometry: 0.251 eV/atom
# ΔH_f (0 K): -0.267 eV/atom


# PBE-GGA Ga2FeCuNi, optimized geometry
data_Ga2FeCuNi
_cell_length_a 4.352
_cell_length_b 4.352
_cell_length_c 4.486
_cell_angle_alpha 90.00
_cell_angle_beta 90.00
_cell_angle_gamma 90.00
_space_group_name_H-M_alt 'P 4/m m m'
_space_group_IT_number 123
_space_group_name_Hall '-P 4 2'
loop_
_atom_site_label
_atom_site_type_symbol
_atom_site_fract_x
_atom_site_fract_y
_atom_site_fract_z
Ga1 Ga 0.000 0.500 0.000
Fe1 Fe 0.000 0.000 0.500
Cu1 Cu 0.000 0.000 0.000
Ni1 Ni 0.500 0.500 0.500
# ΔH_f (0 K): 0.781 eV/atom